No. 1
A plane-wave DFT calculation with GGA-PBE was carried out for a geometry-optimized MgCrAs structure.

Cell and atoms, written as POSCAR:
```
MgCrAs
1.0
3.0634 0.0000 0.0000
-1.5317 2.6530 0.0000
0.0000 0.0000 6.2231
Mg Cr As
1 1 1
direct
0.0000 0.0000 0.0000
0.3333 0.6667 0.6468
0.6667 0.3333 0.3853
```

Summary:
The calculation puts the total moment at 0.556 μB/f.u. The calculation puts the total DFT energy (no corrections) at -15.31 eV per cell. The crystal system is trigonal.

=====

No. 2
A plane-wave DFT calculation with GGA-PBE was carried out for a geometry-optimized Mg2CrAs2 structure.

Cell and atoms, written as POSCAR:
```
Mg2CrAs2
1.0
6.4521 0.0000 0.0000
0.0000 6.4521 0.0000
0.0000 0.0000 4.1194
Mg Cr As
4 2 4
direct
0.1716 0.3284 0.0000
0.3284 0.8284 0.0000
0.6716 0.1716 0.0000
0.8284 0.6716 0.0000
0.0000 0.0000 0.5000
0.5000 0.5000 0.5000
0.1473 0.6473 0.5000
0.3527 0.1473 0.5000
0.6473 0.8527 0.5000
0.8527 0.3527 0.5000
```

Summary:
The calculation puts the total moment at 0.000 μB/f.u. The calculation puts the total DFT energy (no corrections) at -45.77 eV per cell. The crystal system is tetragonal.

=====

No. 3
A plane-wave DFT calculation with GGA-PBE was carried out for a geometry-optimized MgCrAs2 structure.

Cell and atoms, written as POSCAR:
```
MgCrAs2
1.0
-1.6464 1.7583 6.3676
1.6464 -1.7583 6.3676
1.6464 1.7583 -6.3676
Mg Cr As
1 1 2
direct
0.0000 0.0000 0.0000
0.7551 0.2551 0.5000
0.3305 0.8305 0.5000
0.6080 0.6080 0.0000
```

Summary:
The calculation puts the total moment at 2.272 μB/f.u. The calculation puts the total DFT energy (no corrections) at -21.12 eV per cell. The crystal system is orthorhombic.

=====

No. 4
A plane-wave DFT calculation with GGA-PBE was carried out for a geometry-optimized Mg2CrAs structure.

Cell and atoms, written as POSCAR:
```
Mg2CrAs
1.0
0.0000 3.3763 3.3763
3.3763 0.0000 3.3763
3.3763 3.3763 0.0000
Mg Cr As
2 1 1
direct
0.0000 0.0000 0.0000
0.2500 0.2500 0.2500
0.7500 0.7500 0.7500
0.5000 0.5000 0.5000
```

Summary:
The calculation puts the total moment at 4.398 μB/f.u. The calculation puts the total DFT energy (no corrections) at -16.79 eV per cell. The crystal system is cubic.